SiSbSeI2 | Alexandria via LeMat-Bulk | SCAN | single point on PBEsol structure; total energy = -27.5168 eV/atom; total magnetization = 0.725 μB/cell; space-group type = P4/mmm, No. 123; Fermi-level density of states = 3.191 states/eV per cell; raw formation energy = 15.0 kcal/mol of atoms
1.0
5.1775 0.0000 0.0000
0.0000 5.1775 0.0000
0.0000 0.0000 5.5318
I Sb Si Se
2 1 1 1
direct
0.0000 0.5000 0.0000 I
0.5000 0.0000 0.0000 I
0.0000 0.0000 0.5000 Sb
0.0000 0.0000 0.0000 Si
0.5000 0.5000 0.5000 Se